The following is a DFT calculation (PBE) of a geometry-optimized YMgP2 structure.

```
data_YMgP2
_cell_length_a 4.6202
_cell_length_b 4.6202
_cell_length_c 3.5934
_cell_angle_alpha 90.00
_cell_angle_beta 90.00
_cell_angle_gamma 90.00
_space_group_name_H-M_alt 'P 4/m m m'
_space_group_IT_number 123
_space_group_name_Hall '-P 4 2'
loop_
_atom_site_label
_atom_site_type_symbol
_atom_site_fract_x
_atom_site_fract_y
_atom_site_fract_z
_atom_site_occupancy
Y1 Y 0.0000 0.0000 0.0000 1
Mg1 Mg 0.5000 0.5000 0.0000 1
P1 P 0.0000 0.5000 0.5000 1
```

Values from the calculation:
- Energy relative to the elements: -0.68 eV/atom
- M_tot: 0.0 μB/f.u.

The following is a DFT calculation (PBE) of a geometry-optimized Ca3Pm4Tl4 structure.

```
data_Ca3Pm4Tl4
_cell_length_a 4.6471
_cell_length_b 9.1609
_cell_length_c 17.5377
_cell_angle_alpha 90.00
_cell_angle_beta 90.00
_cell_angle_gamma 90.00
_space_group_name_H-M_alt 'I m m m'
_space_group_IT_number 71
_space_group_name_Hall '-I 2 2'
loop_
_atom_site_label
_atom_site_type_symbol
_atom_site_fract_x
_atom_site_fract_y
_atom_site_fract_z
_atom_site_occupancy
Ca1 Ca 0.0000 0.0000 0.0000 1
Ca2 Ca 0.0000 0.5000 0.1153 1
Pm1 Pm 0.0000 0.3047 0.3310 1
Tl1 Tl 0.0000 0.0000 0.2397 1
Tl2 Tl 0.0000 0.1814 0.5000 1
```

Values from the calculation:
- Energy relative to the elements: -0.19 eV/atom
- M_tot: 0.9 μB/f.u.

no.,calculated volume (Å³ per cell)
1,76.7
2,746.6